# TiCoO3

A relaxed TiCoO3 crystal (PBE+U, Alexandria).

Unit cell a=5.464 b=5.551 c=5.821 alpha=64.37 beta=69.25 gamma=71.47
Sites, in units of the cell vectors:
Ti  0.095  0.248  0.421
Ti  0.905  0.752  0.579
Co  0.421  0.543  0.749
Co  0.579  0.457  0.251
O  0.160  0.892  0.650
O  0.227  0.457  0.544
O  0.344  0.309  0.118
O  0.656  0.691  0.882
O  0.773  0.543  0.456
O  0.840  0.108  0.350

Output
Its space group is No. 2. As for the total energy: -77.5 eV for the cell shown.